Entry 1:
First-principles (GGA-PBEsol) data for crystalline Tl3Cd at its relaxed geometry, as listed in Alexandria.

Output
ρ = 11.26 g cm⁻³
energy = -2.2186 eV/atom
magnetic moment = 0.000 μB per formula unit
energy of formation = 0.05 eV per atom
calculated volume = 26.742 Å³ per atom

Lattice parameters (Å, degrees): 6.8420 9.5213 6.5682 90.00 90.00 90.00
Closest atoms and distances in Å follow each position.
Element x y z (fractional)
Tl 0.0127 0.2500 0.0414  3 Cd 3.19-3.39, 8 Tl 3.32-3.53
Tl 0.2127 0.5147 0.3014  3 Cd 3.05-3.33, 5 Tl 3.32-3.41
Tl 0.2127 0.9853 0.3014  3 Cd 3.05-3.33, 5 Tl 3.32-3.41
Tl 0.2873 0.0147 0.8014  3 Cd 3.05-3.33, 5 Tl 3.32-3.41
Tl 0.2873 0.4853 0.8014  3 Cd 3.05-3.33, 5 Tl 3.32-3.41
Tl 0.4873 0.7500 0.5414  3 Cd 3.19-3.39, 8 Tl 3.32-3.53
Tl 0.5127 0.2500 0.4586  3 Cd 3.19-3.39, 8 Tl 3.32-3.53
Tl 0.7127 0.5147 0.1986  3 Cd 3.05-3.33, 5 Tl 3.32-3.41
Tl 0.7127 0.9853 0.1986  3 Cd 3.05-3.33, 5 Tl 3.32-3.41
Tl 0.7873 0.0147 0.6986  3 Cd 3.05-3.33, 5 Tl 3.32-3.41
Tl 0.7873 0.4853 0.6986  3 Cd 3.05-3.33, 5 Tl 3.32-3.41
Tl 0.9873 0.7500 0.9586  3 Cd 3.19-3.39, 8 Tl 3.32-3.53
Cd 0.0411 0.2500 0.5263  9 Tl 3.05-3.39
Cd 0.4589 0.7500 0.0263  9 Tl 3.05-3.39
Cd 0.5411 0.2500 0.9737  9 Tl 3.05-3.39
Cd 0.9589 0.7500 0.4737  9 Tl 3.05-3.39

Entry 2:
First-principles (GGA-PBEsol) data for crystalline KReB2 at its relaxed geometry, as listed in Alexandria.

Output
ρ = 4.38 g cm⁻³
energy = -6.3852 eV/atom
magnetic moment = 0.000 μB per formula unit
energy of formation = 0.74 eV per atom
calculated volume = 23.398 Å³ per atom

Lattice parameters (Å, degrees): 6.4252 6.4252 6.4252 120.13 120.13 89.77
Closest atoms and distances in Å follow each position.
Element x y z (fractional)
K 0.0000 0.0000 0.0000  12 B 3.56-3.97, 4 Re 3.93, 4 K 3.93
K 0.7500 0.2500 0.5000  12 B 3.56-3.97, 4 Re 3.93, 4 K 3.93
Re 0.2500 0.7500 0.5000  4 B 1.98
Re 0.5000 0.5000 0.0000  4 B 1.98
B 0.3372 0.1250 0.7122  2 Re 1.98
B 0.3750 0.6628 0.7878  2 Re 1.98
B 0.4128 0.6250 0.2878  2 Re 1.98
B 0.8750 0.5872 0.2122  2 Re 1.98

Entry 3:
First-principles (GGA-PBEsol) data for crystalline Ta2AlPt at its relaxed geometry, as listed in Alexandria.

Output
ρ = 15.14 g cm⁻³
energy = -9.5194 eV/atom
magnetic moment = 0.000 μB per formula unit
energy of formation = -0.48 eV per atom
calculated volume = 16.014 Å³ per atom

Lattice parameters (Å, degrees): 2.8283 2.8283 8.0082 90.00 90.00 90.57
Closest atoms and distances in Å follow each position.
Element x y z (fractional)
Ta 0.0000 0.0000 0.0000  4 Al 2.82-2.83, 8 Ta 2.83-3.05
Ta 0.5000 0.5000 0.2865  8 Ta 2.83-3.05, 4 Pt 2.84-2.85
Al 0.5000 0.5000 0.7509  4 Pt 2.62-2.63, 4 Ta 2.82-2.83, 4 Al 2.83
Pt 0.0000 0.0000 0.5388  4 Al 2.62-2.63, 4 Pt 2.83, 4 Ta 2.84-2.85

Entry 4:
First-principles (GGA-PBEsol) data for crystalline ZnCdRh2 at its relaxed geometry, as listed in Alexandria.

Output
ρ = 10.79 g cm⁻³
energy = -4.8583 eV/atom
magnetic moment = 0.000 μB per formula unit
energy of formation = -0.09 eV per atom
calculated volume = 14.761 Å³ per atom

Lattice parameters (Å, degrees): 2.7800 4.0830 5.3586 90.00 103.90 90.00
Closest atoms and distances in Å follow each position.
Element x y z (fractional)
Zn 0.0000 0.0000 0.0000  4 Rh 2.48, 2 Cd 2.68, 2 Zn 2.78
Cd 0.0000 0.0000 0.5000  2 Zn 2.68, 2 Cd 2.78, 8 Rh 2.83-2.86
Rh 0.3835 0.5000 0.2282  2 Zn 2.48, 3 Rh 2.68-2.78
Rh 0.6165 0.5000 0.7718  2 Zn 2.48, 3 Rh 2.68-2.78

Entry 5:
First-principles (GGA-PBEsol) data for crystalline IrRu5 at its relaxed geometry, as listed in Alexandria.

Output
ρ = 14.40 g cm⁻³
relative energy among the computed polymorphs = 0.006 eV/atom
energy = -10.1460 eV/atom
magnetic moment = 0.000 μB per formula unit
energy of formation = -0.03 eV per atom
calculated volume = 13.404 Å³ per atom

Lattice parameters (Å, degrees): 5.0447 5.0447 6.3241 103.27 103.27 30.96
Closest atoms and distances in Å follow each position.
Element x y z (fractional)
Ir 0.0000 0.0000 0.0000  10 Ru 2.63-2.71, 2 Ir 2.69
Ru 0.0561 0.0561 0.6101  11 Ru 2.63-2.70, 1 Ir 2.65
Ru 0.3327 0.3327 0.6645  10 Ru 2.61-2.69, 2 Ir 2.70
Ru 0.3886 0.3886 0.2800  10 Ru 2.61-2.70, 2 Ir 2.65
Ru 0.6674 0.6674 0.3356  10 Ru 2.63-2.69, 2 Ir 2.71
Ru 0.7227 0.7227 0.9442  3 Ir 2.63-2.64, 9 Ru 2.64-2.70

Entry 6:
First-principles (GGA-PBEsol) data for crystalline Mn2V3SnP6O24 at its relaxed geometry, as listed in Alexandria.

Output
ρ = 3.56 g cm⁻³
energy = -8.0378 eV/atom
magnetic moment = 15.000 μB per formula unit
formation energy without anion corrections = -2109.6 meV/atom
calculated volume = 12.327 Å³ per atom

Lattice parameters (Å, degrees): 8.5497 8.5497 8.5497 60.19 60.19 60.19
Closest atoms and distances in Å follow each position.
Element x y z (fractional)
Mn 0.0000 0.0000 0.0000  6 O 2.15-2.25
Mn 0.4958 0.4958 0.4958  6 O 2.22
V 0.1401 0.1401 0.1401  6 O 1.90-2.02
V 0.3529 0.3529 0.3529  6 O 1.89-1.99
V 0.6390 0.6390 0.6390  6 O 1.92-2.01
Sn 0.8530 0.8530 0.8530  6 O 1.99-2.08
P 0.0416 0.4498 0.7444  4 O 1.52-1.55
P 0.2508 0.9554 0.5343  4 O 1.52-1.57
P 0.4498 0.7444 0.0416  4 O 1.52-1.55
P 0.5343 0.2508 0.9554  4 O 1.52-1.57
P 0.7444 0.0416 0.4498  4 O 1.52-1.55
P 0.9554 0.5343 0.2508  4 O 1.52-1.57
O 0.0155 0.6055 0.8046  1 P 1.54
O 0.0568 0.2560 0.9105  1 P 1.55
O 0.0861 0.9436 0.7334  1 P 1.57
O 0.1133 0.4934 0.3146  1 P 1.52
O 0.1845 0.9944 0.3786  1 P 1.52
O 0.2379 0.4306 0.5818  1 P 1.55
O 0.2560 0.9105 0.0568  1 P 1.55
O 0.3146 0.1133 0.4934  1 P 1.52
O 0.3786 0.1845 0.9944  1 P 1.52
O 0.4105 0.7570 0.5557  1 P 1.55
O 0.4306 0.5818 0.2379  1 P 1.55
O 0.4934 0.3146 0.1133  1 P 1.52
O 0.4953 0.6863 0.8781  1 P 1.52
O 0.5557 0.4105 0.7570  1 P 1.55
O 0.5818 0.2379 0.4306  1 P 1.55
O 0.6055 0.8046 0.0155  1 P 1.54
O 0.6863 0.8781 0.4953  1 P 1.52
O 0.7334 0.0862 0.9436  1 P 1.57
O 0.7570 0.5557 0.4105  1 P 1.55
O 0.8046 0.0155 0.6055  1 P 1.54
O 0.8781 0.4953 0.6863  1 P 1.52
O 0.9105 0.0568 0.2560  1 P 1.55
O 0.9436 0.7334 0.0861  1 P 1.57
O 0.9944 0.3786 0.1845  1 P 1.52

Entry 7:
First-principles (GGA-PBEsol) data for crystalline NbGa2AgI at its relaxed geometry, as listed in Alexandria.

Output
ρ = 5.66 g cm⁻³
energy = -3.6239 eV/atom
magnetic moment = 1.442 μB per formula unit
formation energy without anion corrections = 891.9 meV/atom
calculated volume = 27.408 Å³ per atom

Lattice parameters (Å, degrees): 5.1402 5.1402 5.1867 90.00 90.00 90.00
Closest atoms and distances in Å follow each position.
Element x y z (fractional)
Nb 0.0000 0.0000 0.0000  4 Ga 2.57, 2 Ag 2.59
Ga 0.0000 0.5000 0.0000  2 Nb 2.57
Ga 0.5000 0.0000 0.0000  2 Nb 2.57
Ag 0.0000 0.0000 0.5000  2 Nb 2.59
I 0.5000 0.5000 0.5000  4 Ag 3.63, 8 Ga 3.65

Entry 8:
First-principles (GGA-PBEsol) data for crystalline Mn2AlCo at its relaxed geometry, as listed in Alexandria.

Output
ρ = 7.24 g cm⁻³
relative energy among the computed polymorphs = 0.000 eV/atom
energy = -8.0643 eV/atom
magnetic moment = 1.999 μB per formula unit
energy of formation = -0.23 eV per atom
calculated volume = 11.232 Å³ per atom

Lattice parameters (Å, degrees): 3.9904 3.9904 3.9904 60.00 60.00 60.00
Closest atoms and distances in Å follow each position.
Element x y z (fractional)
Mn 0.0000 0.0000 0.0000  4 Mn 2.44, 4 Al 2.44
Mn 0.2500 0.2500 0.2500  4 Mn 2.44, 4 Co 2.44
Al 0.7500 0.7500 0.7500  4 Mn 2.44, 4 Co 2.44
Co 0.5000 0.5000 0.5000  4 Mn 2.44, 4 Al 2.44

Entry 9:
First-principles (GGA-PBEsol) data for crystalline In2CoAs at its relaxed geometry, as listed in Alexandria.

Output
ρ = 7.86 g cm⁻³
energy = -4.6864 eV/atom
magnetic moment = 0.000 μB per formula unit
energy of formation = 0.02 eV per atom
calculated volume = 19.204 Å³ per atom

Lattice parameters (Å, degrees): 8.1895 8.1895 8.1895 23.52 23.52 23.52
Closest atoms and distances in Å follow each position.
Element x y z (fractional)
In 0.0000 0.0000 0.0000  3 Co 2.67
In 0.2282 0.2282 0.2282  3 As 3.08, 9 In 3.17-3.34
Co 0.7439 0.7439 0.7439  3 As 2.27
As 0.4608 0.4608 0.4608  3 Co 2.27

Entry 10:
First-principles (GGA-PBEsol) data for crystalline KPbW at its relaxed geometry, as listed in Alexandria.

Output
ρ = 10.16 g cm⁻³
relative energy among the computed polymorphs = 0.000 eV/atom
energy = -5.2950 eV/atom
magnetic moment = 0.000 μB per formula unit
energy of formation = 1.02 eV per atom
calculated volume = 23.431 Å³ per atom

Lattice parameters (Å, degrees): 8.5241 8.3686 2.9982 82.72 76.87 20.42
Closest atoms and distances in Å follow each position.
Element x y z (fractional)
K 0.0000 0.0000 0.0000  4 K 3.00
Pb 0.3134 0.3134 0.6866  2 W 2.88, 4 Pb 3.00
W 0.6751 0.6751 0.3249  2 Pb 2.88, 4 W 3.00

Entry 11:
First-principles (GGA-PBEsol) data for crystalline K2OsAu at its relaxed geometry, as listed in Alexandria.

Output
ρ = 7.75 g cm⁻³
relative energy among the computed polymorphs = 0.138 eV/atom
energy = -3.5698 eV/atom
magnetic moment = 0.950 μB per formula unit
energy of formation = 1.03 eV per atom
calculated volume = 24.917 Å³ per atom

Lattice parameters (Å, degrees): 6.1633 6.1633 2.6237 90.00 90.00 90.00
Closest atoms and distances in Å follow each position.
Element x y z (fractional)
K 0.0000 0.5000 0.0000  2 K 2.62
K 0.5000 0.0000 0.0000  2 K 2.62
Os 0.0000 0.0000 0.5000  2 Os 2.62
Au 0.5000 0.5000 0.5000  2 Au 2.62

Entry 12:
First-principles (GGA-PBEsol) data for crystalline BeTl2Re at its relaxed geometry, as listed in Alexandria.

Output
ρ = 14.35 g cm⁻³
relative energy among the computed polymorphs = 0.372 eV/atom
energy = -4.6973 eV/atom
magnetic moment = 0.001 μB per formula unit
energy of formation = 0.95 eV per atom
calculated volume = 17.477 Å³ per atom

Lattice parameters (Å, degrees): 8.6211 8.6211 8.6211 20.67 20.67 20.67
Closest atoms and distances in Å follow each position.
Element x y z (fractional)
Be 0.0000 0.0000 0.0000  6 Tl 2.66
Tl 0.2556 0.2556 0.2556  3 Be 2.66, 3 Re 2.87
Tl 0.7444 0.7444 0.7444  3 Be 2.66, 3 Re 2.87
Re 0.5000 0.5000 0.5000  6 Tl 2.87, 6 Re 3.09